(1)
CuAg4: optimized geometry, PBE.

a b c (Å): 9.5872 2.9067 12.3119
angles (deg): 90.00 100.42 90.00
Last column: nearest neighbours and their distance in Å.
Space group C2/m (No. 12)
One atom of each set of equivalent atoms:
Cu (0.2001, 0.0000, 0.4136) x4  4 Cu 2.61-2.91, 7 Ag 2.77-2.88
Ag (0.0000, 0.0000, 0.0000) x2  12 Ag 2.89-3.01
Ag (0.0000, 0.5000, 0.5000) x2  6 Cu 2.77-2.88, 6 Ag 2.81-2.91
Ag (0.0936, 0.5000, 0.2151) x4  10 Ag 2.82-3.01, 2 Cu 2.87
Ag (0.1150, 0.0000, 0.6910) x4  3 Cu 2.78-3.06, 9 Ag 2.81-2.91
Ag (0.2048, 0.5000, 0.8967) x4  12 Ag 2.89-2.95

calculated formation energy	0.05	eV per atom
VASP energy	-2.95	eV per atom
distance to the lowest polymorph of the same formula	0.14	eV/f.u.

***

(2)
NdYGe2Mo2C: optimized geometry, PBE.

a b c (Å): 11.2280 3.8947 7.3096
angles (deg): 90.00 124.45 90.00
Last column: nearest neighbours and their distance in Å.
Space group Cm (No. 8)
One atom of each set of equivalent atoms:
Nd (0.0000, 0.0000, 0.0000) x2  2 C 2.70
Y (0.1445, 0.0000, 0.5854) x2  2 C 2.62
Ge (0.2106, 0.5000, 0.9590) x2  3 Mo 2.60-2.68, 1 Ge 2.64
Ge (0.4352, 0.0000, 0.6285) x2  3 Mo 2.58-2.65, 1 Ge 2.64
Mo (0.2770, 0.5000, 0.3738) x2  1 C 2.02
Mo (0.3707, 0.0000, 0.2199) x2  1 C 2.02
C (0.0754, 0.5000, 0.3029) x2  2 Mo 2.02

VASP energy	-7.87	eV per atom
size of the total moment	0.00	μB/cell